This record from Alexandria via LeMat-Bulk describes an optimized crystal structure of LaY2CuO. The functional is PBE-GGA.

a b c (Å): 4.710 4.710 5.018
angles (deg): 90.00 90.00 90.00
Sites, in units of the cell vectors:
O 0.000 0.000 0.000
Y 0.500 0.000 0.000
Cu 0.500 0.500 0.500
Y 0.000 0.500 0.000
La 0.000 0.000 0.500

- E: -32.36 eV for the cell shown
- Calculated volume: 111 Å³/cell
- E_form (uncorrected): -1.091 eV/atom
- ρ: 5.9 g cm⁻³

This record from Alexandria via LeMat-Bulk describes an optimized crystal structure of La2ZnCuO5. The functional is PBE-GGA.

a b c (Å): 5.517 6.988 6.988
angles (deg): 90.00 90.00 90.00
Sites, in units of the cell vectors:
Cu 0.000 0.500 0.000
La 0.500 0.680 0.180
O 0.758 0.871 0.371
O 0.500 0.500 0.500
O 0.758 0.129 0.629
La 0.500 0.320 0.820
O 0.758 0.371 0.129
Zn 0.000 0.500 0.500
Cu 0.000 0.000 0.500
O 0.242 0.629 0.871
La 0.500 0.820 0.680
O 0.242 0.129 0.629
La 0.500 0.180 0.320
O 0.758 0.629 0.871
O 0.500 0.000 0.000
O 0.242 0.371 0.129
O 0.242 0.871 0.371
Zn 0.000 0.000 0.000

- E: -115.18 eV for the cell shown
- Calculated volume: 269 Å³/cell
- E_form (uncorrected): -1.953 eV/atom
- ρ: 6.0 g cm⁻³

This record from Alexandria via LeMat-Bulk describes an optimized crystal structure of LaZnCu2O. The functional is PBE-GGA.

a b c (Å): 4.173 5.104 4.173
angles (deg): 90.00 90.00 90.00
Sites, in units of the cell vectors:
Cu 0.500 0.000 0.000
O 0.000 0.000 0.000
Zn 0.000 0.500 0.000
La 0.500 0.500 0.500
Cu 0.000 0.000 0.500

- E: -19.52 eV for the cell shown
- Calculated volume: 89 Å³/cell
- E_form (uncorrected): -0.033 eV/atom
- ρ: 6.5 g cm⁻³

This record from Alexandria via LeMat-Bulk describes an optimized crystal structure of La2ZrCuO6. The functional is PBE-GGA.

a b c (Å): 7.900 7.895 8.732
angles (deg): 87.58 90.00 90.00
Site moments in Bohr magnetons follow the coordinates.
Sites, in units of the cell vectors:
O 0.250 0.471 0.090  0.00
O 0.750 0.529 0.910  0.00
Zr 0.500 0.000 0.000  0.00
O 0.553 0.248 0.077  0.00
O 0.056 0.436 0.774  0.00
O 0.939 0.058 0.770  0.00
O 0.944 0.564 0.226  0.00
O 0.250 0.969 0.537  0.03
O 0.250 0.530 0.490  0.03
O 0.465 0.248 0.455  0.03
O 0.535 0.752 0.545  0.03
O 0.447 0.752 0.923  0.00
O 0.561 0.058 0.770  0.00
O 0.750 0.031 0.463  0.03
Zr 0.000 0.000 0.000  0.00
La 0.250 0.712 0.270  0.00
Zr 0.000 0.500 0.000  0.00
O 0.750 0.470 0.510  0.03
O 0.965 0.752 0.545  0.03
La 0.750 0.287 0.293  0.00
Cu 0.000 0.000 0.500  0.12
La 0.750 0.771 0.307  0.00
La 0.750 0.288 0.730  0.00
O 0.439 0.942 0.230  0.00
O 0.035 0.248 0.455  0.03
O 0.250 0.086 0.958  0.00
Cu 0.000 0.500 0.500  0.13
O 0.061 0.942 0.230  0.00
La 0.750 0.800 0.741  0.00
O 0.947 0.248 0.077  0.00
Zr 0.500 0.500 0.000  0.00
La 0.250 0.229 0.693  0.00
O 0.444 0.436 0.774  0.00
La 0.250 0.200 0.259  0.00
Cu 0.500 0.000 0.500  0.12
La 0.250 0.713 0.707  0.00
O 0.053 0.752 0.923  0.00
O 0.750 0.914 0.042  0.00
Cu 0.500 0.500 0.500  0.13
O 0.556 0.564 0.226  0.00

- E: -322.70 eV for the cell shown
- Calculated volume: 544 Å³/cell
- E_form (uncorrected): -2.843 eV/atom
- ρ: 6.5 g cm⁻³